[1]
Entry from the Alexandria database: crystalline Ti4Ge3H at its relaxed geometry (PBE).

Lattice parameters (Å, degrees): 5.1279 6.5724 7.6663 90.00 90.00 90.00
Positions (direct):
1 Ti 0.5995 0.1764 0.5000
2 Ti 0.5604 0.0833 0.0000
3 Ti 0.0604 0.9167 0.5000
4 Ti 0.5828 0.7866 0.3171
5 Ti 0.0995 0.8236 0.0000
6 Ti 0.0828 0.2134 0.8171
7 Ti 0.5828 0.7866 0.6829
8 Ti 0.0828 0.2134 0.1829
9 Ge 0.0776 0.6063 0.2927
10 Ge 0.0776 0.6063 0.7073
11 Ge 0.5776 0.3937 0.7927
12 Ge 0.1076 0.3009 0.5000
13 Ge 0.6076 0.6991 0.0000
14 Ge 0.5776 0.3937 0.2073
15 H 0.9269 0.0709 0.0000
16 H 0.4269 0.9291 0.5000

The volume is 258.4 Å³/cell. The calculation puts the calculated density at 5275 kg/m3. The symmetry is Pmn2_1. As for the total energy: -6.253 eV per atom.

[2]
Entry from the Alexandria database: crystalline Nd2Dy5Th3 at its relaxed geometry (PBE).

Lattice parameters (Å, degrees): 5.0484 6.2150 12.9188 61.33 78.73 66.04
Positions (direct):
1 Th 0.9015 0.4989 0.6981
2 Th 0.0985 0.5011 0.3019
3 Th 0.5000 0.5000 0.5000
4 Dy 0.0000 0.0000 0.0000
5 Dy 0.3006 0.5016 0.8973
6 Dy 0.7991 0.9996 0.4022
7 Dy 0.2009 0.0004 0.5978
8 Dy 0.6994 0.4984 0.1027
9 Nd 0.5979 0.0063 0.7978
10 Nd 0.4021 0.9937 0.2022

The calculated formation energy comes out at 45 kJ/mol of formula units. The volume is 325.0 Å³/cell. The calculation puts the calculated density at 9182 kg/m3. The symmetry is C2/m. As for the total energy: -5.434 eV per atom.

[3]
Entry from the Alexandria database: crystalline Bi2Br9N3 at its relaxed geometry (PBE).

Lattice parameters (Å, degrees): 8.0330 8.0330 9.0793 90.00 90.00 120.00
Last column: magnetic moment on the atom in μB.
Positions (direct):
1 Br 0.1708 0.8292 0.6420  0.04
2 Br 0.0000 0.5000 0.0000  0.03
3 Br 0.6584 0.8292 0.6420  0.04
4 Br 0.5000 0.0000 0.0000  0.03
5 Br 0.8292 0.1708 0.3580  0.04
6 Br 0.8292 0.6584 0.3580  0.04
7 Br 0.1708 0.3416 0.6420  0.04
8 Br 0.5000 0.5000 0.0000  0.03
9 Br 0.3416 0.1708 0.3580  0.04
10 N 0.0000 0.0000 0.0000  1.93
11 N 0.6667 0.3333 0.6805  1.92
12 N 0.3333 0.6667 0.3195  1.92
13 Bi 0.3333 0.6667 0.8041  0.00
14 Bi 0.6667 0.3333 0.1959  0.00

The volume is 507.4 Å³/cell. The calculation puts the calculated density at 3859 kg/m3. The calculation puts the formation energy without anion corrections at 0.89 eV per atom. The symmetry is P-3m1. As for the total energy: -2.525 eV per atom.

Question: Number 1 is which compound?
Answer: Ti4Ge3H